BaTcAg2Pd: relaxed, PBE.

E_tot	-20.3	eV per cell
D(E_F)	4.4	states/eV/cell
V	131.4	Å³/f.u.
calculated formation energy	585	meV per atom

Cell: 5.205 5.205 4.849 Å, 90.00 90.00 90.00°
Element x y z (fractional)
Ba1 0.000 0.000 0.000
Tc1 0.500 0.500 0.000
Ag1 0.000 0.500 0.500
Ag2 0.500 0.000 0.500
Pd1 0.500 0.500 0.500

Ba2AgTePd: relaxed, PBE.

E_tot	-18.5	eV per cell
D(E_F)	1.3	states/eV/cell
V	186.9	Å³/f.u.
ΔE_f (raw)	-0.6928	eV/atom

Cell: 6.066 6.066 5.080 Å, 90.00 90.00 90.00°
Element x y z (fractional)
Ba1 0.000 0.500 0.000
Ba2 0.500 0.000 0.000
Ag1 0.000 0.000 0.500
Te1 0.500 0.500 0.500
Pd1 0.000 0.000 0.000

BaTl4AgPd2: relaxed, PBE.

E_tot	-26.0	eV per cell
D(E_F)	5.2	states/eV/cell
V	206.2	Å³/f.u.
calculated formation energy	-167	meV per atom

Cell: 10.660 10.660 10.660 Å, 26.07 26.07 26.07°
Element x y z (fractional)
Ba1 0.000 0.000 0.000
Tl1 0.130 0.130 0.130
Tl2 0.402 0.402 0.402
Tl3 0.598 0.598 0.598
Tl4 0.870 0.870 0.870
Ag1 0.500 0.500 0.500
Pd1 0.228 0.228 0.228
Pd2 0.772 0.772 0.772

Which value of E_tot does entry 3 give? -26.0 eV per cell

Which value of D(E_F) does entry 1 give? 4.4 states/eV/cell

Among the records above, which one has the highest D(E_F)? BaTl4AgPd2